Hf8PS2 | Alexandria via LeMat-Bulk | GGA-PBE | optimized geometry; final energy = -99.7 eV for the cell shown; size of the total moment = 0.0 μB/f.u.; formation energy without anion corrections = -0.58 eV per atom
1.0
5.9328 -3.2440 0.0000
5.9328 3.2440 0.0000
-1.0640 0.0000 5.8361
Hf P S
8 1 2
Direct
0.1518 0.6532 0.7476
0.1581 0.1581 0.8365
0.3468 0.8482 0.2524
0.3754 0.3754 0.1887
0.6246 0.6246 0.8113
0.6532 0.1518 0.7476
0.8419 0.8419 0.1635
0.8482 0.3468 0.2524
0.0000 0.0000 0.5000
0.2603 0.2603 0.4994
0.7397 0.7397 0.5006

***

Hf4AlCd | Alexandria via LeMat-Bulk | GGA-PBE | optimized geometry; final energy = -45.4 eV for the cell shown; ΔH_f (0 K) = -0.155 eV/atom; size of the total moment = 0.0 μB/f.u.
1.0
3.2180 0.0000 0.0000
0.0000 3.2180 0.0000
0.0000 0.0000 12.2362
Hf Al Cd
4 1 1
Direct
0.0000 0.0000 0.1518
0.0000 0.0000 0.8482
0.5000 0.5000 0.3221
0.5000 0.5000 0.6779
0.5000 0.5000 0.0000
0.0000 0.0000 0.5000

***

AlOsRu2 | Alexandria via LeMat-Bulk | GGA-PBE | optimized geometry; final energy = -33.9 eV for the cell shown; ΔH_f (0 K) = -0.087 eV/atom; size of the total moment = 0.0 μB/f.u.
1.0
-1.9258 1.9258 3.7927
1.9258 -1.9258 3.7927
1.9258 1.9258 -3.7927
Al Os Ru
1 1 2
Direct
0.0000 0.0000 0.0000
0.5000 0.5000 0.0000
0.2500 0.7500 0.5000
0.7500 0.2500 0.5000

***

LaUS2 | Alexandria via LeMat-Bulk | GGA-PBE | optimized geometry; final energy = -31.4 eV for the cell shown; size of the total moment = 2.6 μB/f.u.; formation energy without anion corrections = -1.72 eV per atom
1.0
1.9815 1.1440 6.7362
-1.9815 1.1440 6.7362
0.0000 -2.2880 6.7362
La U S
1 1 2
Direct
0.0000 0.0000 0.0000
0.5000 0.5000 0.5000
0.2440 0.2440 0.2440
0.7560 0.7560 0.7560